Material: La2WBr
Method: DFT, PBE
State: optimized geometry

**Formation energy from raw total energies**: 0.252 eV per atom
**Total energy**: -5.8684 eV per atom
**Spin magnetization**: 1.1 μB per formula unit

Lattice parameters (Å, degrees): 5.296 5.296 5.296 60.00 60.00 60.00
Element x y z (fractional)
La  0.750  0.750  0.750
La  0.250  0.250  0.250
W  0.500  0.500  0.500
Br  0.000  0.000  0.000